(1)
DFT (PBE) results for CaPbAu2 after structural relaxation.

Calculated values
SG   R3m, No. 160
Energy   -3.414 eV per atom
DFT formation energy   -0.348 eV/atom
Size of the total moment   0.00 μB/cell

Cell and atoms, written as CIF:
```
data_CaPbAu2
_chemical_formula_sum 'Ca1 Pb1 Au2'
_symmetry_space_group_name_H-M 'P 1'
_symmetry_Int_Tables_number 1
_cell_length_a 7.1899
_cell_length_b 7.1899
_cell_length_c 7.1899
_cell_angle_alpha 35.24
_cell_angle_beta 35.24
_cell_angle_gamma 35.24
loop_
_symmetry_equiv_pos_as_xyz
'x,y,z'
loop_
_atom_site_label
_atom_site_type_symbol
_atom_site_fract_x
_atom_site_fract_y
_atom_site_fract_z
Ca1 Ca 0.0000 0.0000 0.0000
Pb1 Pb 0.1732 0.1732 0.1732
Au1 Au 0.4208 0.4208 0.4208
Au2 Au 0.5814 0.5814 0.5814
```


(2)
DFT (PBE) results for Ca2PbAu2 after structural relaxation.

Calculated values
SG   I4/mmm, No. 139
Energy   -3.302 eV per atom
DFT formation energy   -0.449 eV/atom
Size of the total moment   0.00 μB/cell

Cell and atoms, written as CIF:
```
data_Ca2PbAu2
_chemical_formula_sum 'Ca2 Pb1 Au2'
_symmetry_space_group_name_H-M 'P 1'
_symmetry_Int_Tables_number 1
_cell_length_a 6.7331
_cell_length_b 6.7331
_cell_length_c 6.7331
_cell_angle_alpha 136.34
_cell_angle_beta 136.34
_cell_angle_gamma 63.46
loop_
_symmetry_equiv_pos_as_xyz
'x,y,z'
loop_
_atom_site_label
_atom_site_type_symbol
_atom_site_fract_x
_atom_site_fract_y
_atom_site_fract_z
Ca1 Ca 0.2500 0.7500 0.5000
Ca2 Ca 0.7500 0.2500 0.5000
Pb1 Pb 0.0000 0.0000 0.0000
Au1 Au 0.3838 0.3838 0.0000
Au2 Au 0.6162 0.6162 0.0000
```


What is the formula in the second record? Ca2PbAu2